(1)
A relaxed Rb2HfInCl6 crystal, computed with GGA-PBE.

Cell: 8.5647 8.5647 33.1674 Å, 90.00 90.00 120.00°
Space group R-3m (No. 166, hexagonal axes)
Unique sites:
Rb: 0.0000 0.0000 0.1312 x6
Rb: 0.0000 0.0000 0.2725 x6
Hf: 0.0000 0.0000 0.0000 x3
Hf: 0.0000 0.0000 0.5000 x3
In: 0.0000 0.0000 0.4042 x6
Cl: 0.0162 0.5081 0.1315 x18
Cl: 0.0674 0.5337 0.7107 x18

total moment = 0.000 μB per cell
raw formation energy = -1576 meV per atom

(2)
A relaxed Hf2InRuCl crystal, computed with GGA-PBE.

Cell: 4.966 4.966 5.248 Å, 90.00 90.00 90.00°
Space group P4/mmm (No. 123)
Unique sites:
Hf: 0.000 0.500 0.000 x2
In: 0.000 0.000 0.500 x1
Ru: 0.000 0.000 0.000 x1
Cl: 0.500 0.500 0.500 x1

total moment = 0.000 μB per cell
raw formation energy = 103 meV per atom

(3)
A relaxed HfInSCl2 crystal, computed with GGA-PBE.

Cell: 5.317 5.317 4.989 Å, 90.00 90.00 90.00°
Space group P4/mmm (No. 123)
Unique sites:
Hf: 0.000 0.000 0.000 x1
In: 0.500 0.500 0.500 x1
S: 0.000 0.000 0.500 x1
Cl: 0.000 0.500 0.000 x2

total moment = 0.000 μB per cell
raw formation energy = -1001 meV per atom

(4)
A relaxed HfInS2Cl crystal, computed with GGA-PBE.

Cell: 5.094 5.094 4.925 Å, 90.00 90.00 90.00°
Space group P4/mmm (No. 123)
Unique sites:
Hf: 0.000 0.000 0.000 x1
In: 0.500 0.500 0.500 x1
S: 0.000 0.500 0.000 x2
Cl: 0.000 0.000 0.500 x1

total moment = 0.000 μB per cell
raw formation energy = -1053 meV per atom

(5)
A relaxed HfInS2Cl crystal, computed with GGA-PBE.

Cell: 5.243 5.243 5.051 Å, 90.00 90.00 90.00°
Space group P4/mmm (No. 123)
Unique sites:
Hf: 0.000 0.000 0.000 x1
In: 0.500 0.500 0.500 x1
S: 0.000 0.500 0.500 x2
Cl: 0.500 0.500 0.000 x1

total moment = 1.650 μB per cell
raw formation energy = 315 meV per atom

(6)
A relaxed HfInSCl2 crystal, computed with GGA-PBE.

Cell: 5.058 5.058 5.074 Å, 90.00 90.00 90.00°
Space group P4/mmm (No. 123)
Unique sites:
Hf: 0.000 0.000 0.000 x1
In: 0.500 0.500 0.500 x1
S: 0.500 0.500 0.000 x1
Cl: 0.000 0.500 0.500 x2

total moment = 2.004 μB per cell
raw formation energy = 235 meV per atom